Entry 1:
# Li2EuAu | Alexandria | GGA-PBE | relaxed
# - Distance to the lowest polymorph of the same formula: 0.000 eV per atom
# - Crystal system: cubic
# - Total magnetization: 1.973 μB/atom
data_Li2EuAu
_chemical_formula_sum 'Li8 Eu4 Au4'
_symmetry_space_group_name_H-M 'F m -3 m'
_symmetry_Int_Tables_number 225
_symmetry_space_group_name_Hall '-F 4 2 3'
_cell_length_a 6.911
_cell_length_b 6.911
_cell_length_c 6.911
_cell_angle_alpha 90.00
_cell_angle_beta 90.00
_cell_angle_gamma 90.00
loop_
_atom_site_label
_atom_site_fract_x
_atom_site_fract_y
_atom_site_fract_z
_atom_site_occupancy
Li1 0.250 0.250 0.250 1
Eu1 0.000 0.000 0.000 1
Au1 0.000 0.000 0.500 1

***

Entry 2:
# LiEu3Au | Alexandria | GGA-PBE | relaxed
# - Crystal system: cubic
# - Total magnetization: 4.393 μB/atom
data_LiEu3Au
_chemical_formula_sum 'Li1 Eu3 Au1'
_symmetry_space_group_name_H-M 'P m -3 m'
_symmetry_Int_Tables_number 221
_symmetry_space_group_name_Hall '-P 4 2 3'
_cell_length_a 5.941
_cell_length_b 5.941
_cell_length_c 5.941
_cell_angle_alpha 90.00
_cell_angle_beta 90.00
_cell_angle_gamma 90.00
loop_
_atom_site_label
_atom_site_fract_x
_atom_site_fract_y
_atom_site_fract_z
_atom_site_occupancy
Li1 0.000 0.000 0.000 1
Eu1 0.000 0.500 0.500 1
Au1 0.500 0.500 0.500 1

***

Entry 3:
# Li4Eu2Au | Alexandria | GGA-PBE | relaxed
# - Crystal system: tetragonal
# - Total magnetization: 2.259 μB/atom
data_Li4Eu2Au
_chemical_formula_sum 'Li8 Eu4 Au2'
_symmetry_space_group_name_H-M 'I 4/m m m'
_symmetry_Int_Tables_number 139
_symmetry_space_group_name_Hall '-I 4 2'
_cell_length_a 4.914
_cell_length_b 4.914
_cell_length_c 16.570
_cell_angle_alpha 90.00
_cell_angle_beta 90.00
_cell_angle_gamma 90.00
loop_
_atom_site_label
_atom_site_fract_x
_atom_site_fract_y
_atom_site_fract_z
_atom_site_occupancy
Li1 0.000 0.000 0.152 1
Li2 0.000 0.500 0.000 1
Eu1 0.000 0.000 0.353 1
Au1 0.000 0.000 0.000 1

***

Entry 4:
# LiEu2Au | Alexandria | GGA-PBE | relaxed
# - Crystal system: tetragonal
# - Total magnetization: 3.665 μB/atom
data_LiEu2Au
_chemical_formula_sum 'Li1 Eu2 Au1'
_symmetry_space_group_name_H-M 'P 4/m m m'
_symmetry_Int_Tables_number 123
_symmetry_space_group_name_Hall '-P 4 2'
_cell_length_a 3.849
_cell_length_b 3.849
_cell_length_c 7.815
_cell_angle_alpha 90.00
_cell_angle_beta 90.00
_cell_angle_gamma 90.00
loop_
_atom_site_label
_atom_site_fract_x
_atom_site_fract_y
_atom_site_fract_z
_atom_site_occupancy
Li1 0.000 0.000 0.000 1
Eu1 0.500 0.500 0.276 1
Au1 0.000 0.000 0.500 1

***

Entry 5:
# NaLiEuAu | Alexandria | GGA-PBE | relaxed
# - Crystal system: cubic
# - Total magnetization: 1.858 μB/atom
data_NaLiEuAu
_chemical_formula_sum 'Na4 Li4 Eu4 Au4'
_symmetry_space_group_name_H-M 'F -4 3 m'
_symmetry_Int_Tables_number 216
_symmetry_space_group_name_Hall 'F -4 2 3'
_cell_length_a 7.399
_cell_length_b 7.399
_cell_length_c 7.399
_cell_angle_alpha 90.00
_cell_angle_beta 90.00
_cell_angle_gamma 90.00
loop_
_atom_site_label
_atom_site_fract_x
_atom_site_fract_y
_atom_site_fract_z
_atom_site_occupancy
Na1 0.000 0.000 0.000 1
Li1 0.250 0.250 0.250 1
Eu1 0.000 0.000 0.500 1
Au1 0.250 0.250 0.750 1

***

Entry 6:
# LiEuNiAu | Alexandria | GGA-PBE | relaxed
# - Crystal system: cubic
# - Total magnetization: 1.757 μB/atom
data_LiEuNiAu
_chemical_formula_sum 'Li4 Eu4 Ni4 Au4'
_symmetry_space_group_name_H-M 'F -4 3 m'
_symmetry_Int_Tables_number 216
_symmetry_space_group_name_Hall 'F -4 2 3'
_cell_length_a 6.626
_cell_length_b 6.626
_cell_length_c 6.626
_cell_angle_alpha 90.00
_cell_angle_beta 90.00
_cell_angle_gamma 90.00
loop_
_atom_site_label
_atom_site_fract_x
_atom_site_fract_y
_atom_site_fract_z
_atom_site_occupancy
Li1 0.000 0.000 0.000 1
Eu1 0.250 0.250 0.750 1
Ni1 0.000 0.000 0.500 1
Au1 0.250 0.250 0.250 1

***

Entry 7:
# LiEuPbAu | Alexandria | GGA-PBE | relaxed
# - Crystal system: cubic
# - Total magnetization: 1.769 μB/atom
data_LiEuPbAu
_chemical_formula_sum 'Li4 Eu4 Pb4 Au4'
_symmetry_space_group_name_H-M 'F -4 3 m'
_symmetry_Int_Tables_number 216
_symmetry_space_group_name_Hall 'F -4 2 3'
_cell_length_a 7.188
_cell_length_b 7.188
_cell_length_c 7.188
_cell_angle_alpha 90.00
_cell_angle_beta 90.00
_cell_angle_gamma 90.00
loop_
_atom_site_label
_atom_site_fract_x
_atom_site_fract_y
_atom_site_fract_z
_atom_site_occupancy
Li1 0.000 0.000 0.000 1
Eu1 0.250 0.250 0.250 1
Pb1 0.250 0.250 0.750 1
Au1 0.000 0.000 0.500 1

***

Entry 8:
# LiPmEuAu | Alexandria | GGA-PBE | relaxed
# - Crystal system: cubic
# - Total magnetization: 1.802 μB/atom
data_LiPmEuAu
_chemical_formula_sum 'Li4 Pm4 Eu4 Au4'
_symmetry_space_group_name_H-M 'F -4 3 m'
_symmetry_Int_Tables_number 216
_symmetry_space_group_name_Hall 'F -4 2 3'
_cell_length_a 7.476
_cell_length_b 7.476
_cell_length_c 7.476
_cell_angle_alpha 90.00
_cell_angle_beta 90.00
_cell_angle_gamma 90.00
loop_
_atom_site_label
_atom_site_fract_x
_atom_site_fract_y
_atom_site_fract_z
_atom_site_occupancy
Li1 0.000 0.000 0.000 1
Pm1 0.250 0.250 0.250 1
Eu1 0.250 0.250 0.750 1
Au1 0.000 0.000 0.500 1

***

Entry 9:
# LiPrEuAu | Alexandria | GGA-PBE | relaxed
# - Crystal system: cubic
# - Total magnetization: 1.796 μB/atom
data_LiPrEuAu
_chemical_formula_sum 'Li4 Pr4 Eu4 Au4'
_symmetry_space_group_name_H-M 'F -4 3 m'
_symmetry_Int_Tables_number 216
_symmetry_space_group_name_Hall 'F -4 2 3'
_cell_length_a 7.535
_cell_length_b 7.535
_cell_length_c 7.535
_cell_angle_alpha 90.00
_cell_angle_beta 90.00
_cell_angle_gamma 90.00
loop_
_atom_site_label
_atom_site_fract_x
_atom_site_fract_y
_atom_site_fract_z
_atom_site_occupancy
Li1 0.000 0.000 0.000 1
Pr1 0.250 0.250 0.250 1
Eu1 0.250 0.250 0.750 1
Au1 0.000 0.000 0.500 1

***

Entry 10:
# LiEuScAu | Alexandria | GGA-PBE | relaxed
# - Crystal system: cubic
# - Total magnetization: 1.805 μB/atom
data_LiEuScAu
_chemical_formula_sum 'Li4 Eu4 Sc4 Au4'
_symmetry_space_group_name_H-M 'F -4 3 m'
_symmetry_Int_Tables_number 216
_symmetry_space_group_name_Hall 'F -4 2 3'
_cell_length_a 7.174
_cell_length_b 7.174
_cell_length_c 7.174
_cell_angle_alpha 90.00
_cell_angle_beta 90.00
_cell_angle_gamma 90.00
loop_
_atom_site_label
_atom_site_fract_x
_atom_site_fract_y
_atom_site_fract_z
_atom_site_occupancy
Li1 0.000 0.000 0.000 1
Eu1 0.250 0.250 0.750 1
Sc1 0.250 0.250 0.250 1
Au1 0.000 0.000 0.500 1

***

Entry 11:
# LiSmEuAu | Alexandria | GGA-PBE | relaxed
# - Crystal system: cubic
# - Total magnetization: 1.804 μB/atom
data_LiSmEuAu
_chemical_formula_sum 'Li4 Sm4 Eu4 Au4'
_symmetry_space_group_name_H-M 'F -4 3 m'
_symmetry_Int_Tables_number 216
_symmetry_space_group_name_Hall 'F -4 2 3'
_cell_length_a 7.456
_cell_length_b 7.456
_cell_length_c 7.456
_cell_angle_alpha 90.00
_cell_angle_beta 90.00
_cell_angle_gamma 90.00
loop_
_atom_site_label
_atom_site_fract_x
_atom_site_fract_y
_atom_site_fract_z
_atom_site_occupancy
Li1 0.000 0.000 0.000 1
Sm1 0.250 0.250 0.250 1
Eu1 0.250 0.250 0.750 1
Au1 0.000 0.000 0.500 1

***

Entry 12:
# LiEuThAu | Alexandria | GGA-PBE | relaxed
# - Crystal system: cubic
# - Total magnetization: 1.815 μB/atom
data_LiEuThAu
_chemical_formula_sum 'Li4 Eu4 Th4 Au4'
_symmetry_space_group_name_H-M 'F -4 3 m'
_symmetry_Int_Tables_number 216
_symmetry_space_group_name_Hall 'F -4 2 3'
_cell_length_a 7.464
_cell_length_b 7.464
_cell_length_c 7.464
_cell_angle_alpha 90.00
_cell_angle_beta 90.00
_cell_angle_gamma 90.00
loop_
_atom_site_label
_atom_site_fract_x
_atom_site_fract_y
_atom_site_fract_z
_atom_site_occupancy
Li1 0.000 0.000 0.000 1
Eu1 0.250 0.250 0.250 1
Th1 0.250 0.250 0.750 1
Au1 0.000 0.000 0.500 1

***

Entry 13:
# LiEuTmAu | Alexandria | GGA-PBE | relaxed
# - Crystal system: cubic
# - Total magnetization: 1.811 μB/atom
data_LiEuTmAu
_chemical_formula_sum 'Li4 Eu4 Tm4 Au4'
_symmetry_space_group_name_H-M 'F -4 3 m'
_symmetry_Int_Tables_number 216
_symmetry_space_group_name_Hall 'F -4 2 3'
_cell_length_a 7.321
_cell_length_b 7.321
_cell_length_c 7.321
_cell_angle_alpha 90.00
_cell_angle_beta 90.00
_cell_angle_gamma 90.00
loop_
_atom_site_label
_atom_site_fract_x
_atom_site_fract_y
_atom_site_fract_z
_atom_site_occupancy
Li1 0.000 0.000 0.000 1
Eu1 0.250 0.250 0.250 1
Tm1 0.250 0.250 0.750 1
Au1 0.000 0.000 0.500 1

***

Entry 14:
# LiEuYAu | Alexandria | GGA-PBE | relaxed
# - Crystal system: cubic
# - Total magnetization: 1.806 μB/atom
data_LiEuYAu
_chemical_formula_sum 'Li4 Eu4 Y4 Au4'
_symmetry_space_group_name_H-M 'F -4 3 m'
_symmetry_Int_Tables_number 216
_symmetry_space_group_name_Hall 'F -4 2 3'
_cell_length_a 7.387
_cell_length_b 7.387
_cell_length_c 7.387
_cell_angle_alpha 90.00
_cell_angle_beta 90.00
_cell_angle_gamma 90.00
loop_
_atom_site_label
_atom_site_fract_x
_atom_site_fract_y
_atom_site_fract_z
_atom_site_occupancy
Li1 0.000 0.000 0.000 1
Eu1 0.250 0.250 0.250 1
Y1 0.250 0.250 0.750 1
Au1 0.000 0.000 0.500 1

***

Entry 15:
# LiEuZnAu | Alexandria | GGA-PBE | relaxed
# - Crystal system: cubic
# - Total magnetization: 1.822 μB/atom
data_LiEuZnAu
_chemical_formula_sum 'Li4 Eu4 Zn4 Au4'
_symmetry_space_group_name_H-M 'F -4 3 m'
_symmetry_Int_Tables_number 216
_symmetry_space_group_name_Hall 'F -4 2 3'
_cell_length_a 7.088
_cell_length_b 7.088
_cell_length_c 7.088
_cell_angle_alpha 90.00
_cell_angle_beta 90.00
_cell_angle_gamma 90.00
loop_
_atom_site_label
_atom_site_fract_x
_atom_site_fract_y
_atom_site_fract_z
_atom_site_occupancy
Li1 0.000 0.000 0.000 1
Eu1 0.000 0.000 0.500 1
Zn1 0.250 0.250 0.750 1
Au1 0.250 0.250 0.250 1

***

Entry 16:
# EuLuAu2 | Alexandria | GGA-PBE | relaxed
# - Distance to the lowest polymorph of the same formula: 0.000 eV per atom
# - Crystal system: tetragonal
# - Total magnetization: 1.801 μB/atom
data_EuLuAu2
_chemical_formula_sum 'Eu1 Lu1 Au2'
_symmetry_space_group_name_H-M 'P 4/m m m'
_symmetry_Int_Tables_number 123
_symmetry_space_group_name_Hall '-P 4 2'
_cell_length_a 3.604
_cell_length_b 3.604
_cell_length_c 7.388
_cell_angle_alpha 90.00
_cell_angle_beta 90.00
_cell_angle_gamma 90.00
loop_
_atom_site_label
_atom_site_fract_x
_atom_site_fract_y
_atom_site_fract_z
_atom_site_occupancy
Eu1 0.000 0.000 0.000 1
Lu1 0.000 0.000 0.500 1
Au1 0.500 0.500 0.285 1

***

Entry 17:
# EuLuAu2 | Alexandria | GGA-PBE | relaxed
# - Distance to the lowest polymorph of the same formula: 0.108 eV per atom
# - Crystal system: trigonal
# - Total magnetization: 1.754 μB/atom
data_EuLuAu2
_chemical_formula_sum 'Eu3 Lu3 Au6'
_symmetry_space_group_name_H-M 'R -3 m'
_symmetry_Int_Tables_number 166
_symmetry_space_group_name_Hall '-R 3 2"'
_cell_length_a 4.2362
_cell_length_b 4.2362
_cell_length_c 21.0337
_cell_angle_alpha 90.00
_cell_angle_beta 90.00
_cell_angle_gamma 120.00
loop_
_atom_site_label
_atom_site_fract_x
_atom_site_fract_y
_atom_site_fract_z
_atom_site_occupancy
Eu1 0.0000 0.0000 0.0000 1
Lu1 0.0000 0.0000 0.5000 1
Au1 0.0000 0.0000 0.2399 1

***

Entry 18:
# EuLuAu2 | Alexandria | GGA-PBE | relaxed
# - Distance to the lowest polymorph of the same formula: 0.062 eV per atom
# - Crystal system: cubic
# - Total magnetization: 1.749 μB/atom
data_EuLuAu2
_chemical_formula_sum 'Eu4 Lu4 Au8'
_symmetry_space_group_name_H-M 'F m -3 m'
_symmetry_Int_Tables_number 225
_symmetry_space_group_name_Hall '-F 4 2 3'
_cell_length_a 7.248
_cell_length_b 7.248
_cell_length_c 7.248
_cell_angle_alpha 90.00
_cell_angle_beta 90.00
_cell_angle_gamma 90.00
loop_
_atom_site_label
_atom_site_fract_x
_atom_site_fract_y
_atom_site_fract_z
_atom_site_occupancy
Eu1 0.000 0.000 0.000 1
Lu1 0.000 0.000 0.500 1
Au1 0.250 0.250 0.250 1

***

Entry 19:
# EuLuMgAu | Alexandria | GGA-PBE | relaxed
# - Crystal system: cubic
# - Total magnetization: 1.806 μB/atom
data_EuLuMgAu
_chemical_formula_sum 'Eu4 Lu4 Mg4 Au4'
_symmetry_space_group_name_H-M 'F -4 3 m'
_symmetry_Int_Tables_number 216
_symmetry_space_group_name_Hall 'F -4 2 3'
_cell_length_a 7.424
_cell_length_b 7.424
_cell_length_c 7.424
_cell_angle_alpha 90.00
_cell_angle_beta 90.00
_cell_angle_gamma 90.00
loop_
_atom_site_label
_atom_site_fract_x
_atom_site_fract_y
_atom_site_fract_z
_atom_site_occupancy
Eu1 0.000 0.000 0.000 1
Lu1 0.000 0.000 0.500 1
Mg1 0.250 0.250 0.750 1
Au1 0.250 0.250 0.250 1

***

Entry 20:
# EuLuPbAu | Alexandria | GGA-PBE | relaxed
# - Crystal system: cubic
# - Total magnetization: 1.781 μB/atom
data_EuLuPbAu
_chemical_formula_sum 'Eu4 Lu4 Pb4 Au4'
_symmetry_space_group_name_H-M 'F -4 3 m'
_symmetry_Int_Tables_number 216
_symmetry_space_group_name_Hall 'F -4 2 3'
_cell_length_a 7.525
_cell_length_b 7.525
_cell_length_c 7.525
_cell_angle_alpha 90.00
_cell_angle_beta 90.00
_cell_angle_gamma 90.00
loop_
_atom_site_label
_atom_site_fract_x
_atom_site_fract_y
_atom_site_fract_z
_atom_site_occupancy
Eu1 0.000 0.000 0.000 1
Lu1 0.000 0.000 0.500 1
Pb1 0.250 0.250 0.750 1
Au1 0.250 0.250 0.250 1

***

no.,VASP energy (eV per formula unit)
1,-18.5
2,-37.0
3,-31.7
4,-27.3
5,-17.8
6,-22.2
7,-21.2
8,-21.6
9,-21.7
10,-23.0
11,-21.6
12,-23.6
13,-21.4
14,-23.4
15,-18.2
16,-24.7
17,-24.3
18,-24.5
19,-21.1
20,-24.2